Entry 1:
# PBE Pm4YEr5, optimized geometry
# Fermi-level density of states (states/eV per atom): 1.42
# Crystal system: tetragonal
# Energy of formation (meV/atom): 294
data_Pm4YEr5
_cell_length_a 10.3099
_cell_length_b 10.3099
_cell_length_c 6.2295
_cell_angle_alpha 90.00
_cell_angle_beta 90.00
_cell_angle_gamma 90.00
_symmetry_space_group_name_H-M 'I 4'
_symmetry_Int_Tables_number 79
_symmetry_space_group_name_Hall 'I 4'
loop_
_atom_site_label
_atom_site_type_symbol
_atom_site_fract_x
_atom_site_fract_y
_atom_site_fract_z
Pm1 Pm 0.0463 0.3476 0.0000
Y1 Y 0.0000 0.0000 0.2315
Er1 Er 0.0000 0.0000 0.7652
Er2 Er 0.1505 0.2289 0.5025



Entry 2:
# PBE PmY4Er7, optimized geometry
# Fermi-level density of states (states/eV per atom): 1.81
# Crystal system: monoclinic
# Energy of formation (meV/atom): 279
data_PmY4Er7
_cell_length_a 12.0210
_cell_length_b 5.8384
_cell_length_c 12.6430
_cell_angle_alpha 90.00
_cell_angle_beta 118.11
_cell_angle_gamma 90.00
_symmetry_space_group_name_H-M 'C 1 2/m 1'
_symmetry_Int_Tables_number 12
_symmetry_space_group_name_Hall '-C 2y'
loop_
_atom_site_label
_atom_site_type_symbol
_atom_site_fract_x
_atom_site_fract_y
_atom_site_fract_z
Pm1 Pm 0.0000 0.0000 0.0000
Y1 Y 0.1320 0.5000 0.7751
Y2 Y 0.2483 0.0000 0.6831
Er1 Er 0.0000 0.5000 0.0000
Er2 Er 0.0605 0.0000 0.3272
Er3 Er 0.1344 0.5000 0.5023
Er4 Er 0.2108 0.0000 0.9234



- Number 1 is which compound?
  Pm4YEr5



- Which value of Fermi-level density of states does entry 2 give?
  1.81 states/eV per atom



- The highest Fermi-level density of states belongs to which entry?
  PmY4Er7